(1)
The following is a PBE calculation of a relaxed Ni10W3C3 crystal, from OQMD via LeMat-Bulk.

abc: 7.3775 7.3775 7.8286
angles: 90.00 90.00 120.00
Space group P6_3/mmc (No. 194)
Asymmetric unit:
Ni 0.0000 0.0000 0.0000 [2 per cell]
Ni 0.1094 0.2188 0.2500 [6 per cell]
Ni 0.2015 0.4031 0.5496 [12 per cell]
W 0.0908 0.5454 0.2500 [6 per cell]
C 0.0000 0.5000 0.0000 [6 per cell]

- DFT total energy: -7.5085 eV per atom
- M_tot: 0.3 Bohr magnetons per cell

***

(2)
The following is a PBE calculation of a relaxed NiW3C2 crystal, from OQMD via LeMat-Bulk.

abc: 3.0179 3.0179 18.2774
angles: 90.00 90.00 120.00
Space group P6_3/mmc (No. 194)
Asymmetric unit:
Ni 0.0000 0.0000 0.2500 [2 per cell]
W 0.0000 0.0000 0.0000 [2 per cell]
W 0.3333 0.6667 0.1376 [4 per cell]
C 0.3333 0.6667 0.5725 [4 per cell]

- DFT total energy: -10.2377 eV per atom
- M_tot: 0.0 Bohr magnetons per cell

***

(3)
The following is a PBE calculation of a relaxed Y2Ni3W4C3 crystal, from OQMD via LeMat-Bulk.

abc: 9.3481 5.3935 13.6030
angles: 90.00 103.66 90.00
Space group C2/c (No. 15)
Asymmetric unit:
Y 0.0379 0.0826 0.3727 [8 per cell]
Ni 0.0000 0.4171 0.7500 [4 per cell]
Ni 0.2484 0.1628 0.7526 [8 per cell]
W 0.1108 0.4018 0.5838 [8 per cell]
W 0.2286 0.4225 0.9162 [8 per cell]
C 0.0861 0.2578 0.0000 [8 per cell]
C 0.2500 0.2500 0.5000 [4 per cell]

- DFT total energy: -9.2937 eV per atom
- M_tot: 0.0 Bohr magnetons per cell